Here is an optimized crystal structure of Eu3Zr5H12 from Alexandria. Energies are from PBE.

Geometry as POSCAR:
```
Eu3Zr5H12
1.0
10.953 0.000 0.000
-3.651 10.326 0.000
-3.651 -5.163 8.943
H Eu Zr
48 12 20
Direct
0.422 0.134 0.587 H
0.789 0.453 0.366 H
0.835 0.913 0.047 H
0.913 0.078 0.866 H
0.634 0.047 0.211 H
0.366 0.953 0.789 H
0.866 0.289 0.453 H
0.547 0.211 0.134 H
0.335 0.789 0.422 H
0.835 0.922 0.289 H
0.413 0.047 0.335 H
0.335 0.547 0.413 H
0.366 0.413 0.078 H
0.578 0.711 0.665 H
0.711 0.578 0.165 H
0.165 0.087 0.953 H
0.047 0.634 0.711 H
0.087 0.922 0.134 H
0.289 0.866 0.953 H
0.913 0.835 0.547 H
0.578 0.866 0.413 H
0.587 0.634 0.422 H
0.422 0.289 0.335 H
0.087 0.165 0.453 H
0.953 0.587 0.165 H
0.134 0.422 0.087 H
0.634 0.587 0.922 H
0.587 0.953 0.665 H
0.211 0.665 0.078 H
0.078 0.913 0.366 H
0.922 0.087 0.634 H
0.211 0.547 0.634 H
0.665 0.453 0.587 H
0.547 0.335 0.913 H
0.789 0.335 0.922 H
0.866 0.578 0.913 H
0.953 0.366 0.289 H
0.922 0.835 0.789 H
0.413 0.366 0.578 H
0.047 0.413 0.835 H
0.134 0.711 0.547 H
0.711 0.134 0.047 H
0.453 0.665 0.087 H
0.289 0.422 0.835 H
0.665 0.211 0.578 H
0.078 0.165 0.211 H
0.453 0.789 0.866 H
0.165 0.078 0.711 H
0.375 0.750 0.625 Eu
0.125 0.875 0.750 Eu
0.875 0.125 0.250 Eu
0.250 0.125 0.375 Eu
0.375 0.625 0.250 Eu
0.750 0.375 0.125 Eu
0.625 0.375 0.750 Eu
0.750 0.875 0.625 Eu
0.250 0.625 0.875 Eu
0.875 0.750 0.125 Eu
0.625 0.250 0.375 Eu
0.125 0.250 0.875 Eu
0.500 0.500 0.000 Zr
0.875 0.625 0.750 Zr
0.375 0.250 0.125 Zr
0.375 0.125 0.750 Zr
0.500 0.000 0.000 Zr
0.875 0.250 0.625 Zr
0.000 0.000 0.000 Zr
0.000 0.500 0.500 Zr
0.500 0.000 0.500 Zr
0.500 0.500 0.500 Zr
0.750 0.125 0.875 Zr
0.750 0.625 0.375 Zr
0.000 0.000 0.500 Zr
0.000 0.500 0.000 Zr
0.625 0.750 0.875 Zr
0.125 0.750 0.375 Zr
0.625 0.875 0.250 Zr
0.125 0.375 0.250 Zr
0.250 0.875 0.125 Zr
0.250 0.375 0.625 Zr
```

Computed properties:
E = -482.819 eV for the cell shown
space-group type = No. 230
magnetization = 91.4 μB/cell

---

Here is an optimized crystal structure of Eu3Hf from Alexandria. Energies are from PBE.

Geometry as POSCAR:
```
Eu3Hf
1.0
-3.954 -1.838 -4.417
2.547 -4.663 -3.208
-0.749 0.885 6.097
Eu Hf
3 1
Direct
0.750 0.250 0.500 Eu
0.250 0.750 0.500 Eu
0.500 0.500 0.000 Eu
0.000 0.000 0.000 Hf
```

Computed properties:
ΔH_f (0 K) = 159.1 kJ/mol of formula units
E = -39.127 eV for the cell shown
space-group type = No. 139
magnetization = 7.7 μB/cell

---

Here is an optimized crystal structure of Eu2HfHg from Alexandria. Energies are from PBE.

Geometry as POSCAR:
```
Eu2HfHg
1.0
-0.433 3.219 -0.840
-2.954 1.036 -1.207
-4.789 3.796 10.314
Hg Hf Eu
1 1 2
Direct
0.500 0.500 0.500 Hg
0.000 0.000 0.000 Hf
0.090 0.090 0.731 Eu
0.910 0.910 0.269 Eu
```

Computed properties:
ΔH_f (0 K) = 125.1 kJ/mol of formula units
E = -29.508 eV for the cell shown
space-group type = No. 166
magnetization = 15.4 μB/cell

---

Here is an optimized crystal structure of EuHo2Hf from Alexandria. Energies are from PBE.

Geometry as POSCAR:
```
EuHo2Hf
1.0
3.457 0.000 0.000
1.729 2.994 0.000
1.729 0.998 11.525
Ho Eu Hf
2 1 1
Direct
0.742 0.742 0.775 Ho
0.258 0.258 0.225 Ho
0.500 0.500 0.500 Eu
0.000 0.000 0.000 Hf
```

Computed properties:
ΔE to the lowest computed polymorph = 24 meV per atom
ΔH_f (0 K) = 57.8 kJ/mol of formula units
E = -28.784 eV for the cell shown
space-group type = No. 166
magnetization = 7.6 μB/cell

---

Here is an optimized crystal structure of EuHo2Hf from Alexandria. Energies are from PBE.

Geometry as POSCAR:
```
EuHo2Hf
1.0
-1.010 -1.173 3.065
2.345 -2.501 -0.185
6.866 6.098 4.596
Hf Ho Eu
1 2 1
Direct
0.500 0.500 0.000 Hf
0.000 0.000 0.785 Ho
0.000 0.000 0.215 Ho
0.500 0.500 0.500 Eu
```

Computed properties:
ΔE to the lowest computed polymorph = 0 meV per atom
ΔH_f (0 K) = 48.5 kJ/mol of formula units
E = -28.881 eV for the cell shown
space-group type = No. 123
magnetization = 7.8 μB/cell

---

Here is an optimized crystal structure of EuHfIn2 from Alexandria. Energies are from PBE.

Geometry as POSCAR:
```
EuHfIn2
1.0
-1.467 -2.961 0.651
0.061 -2.453 -2.307
8.561 -5.387 3.497
In Eu Hf
2 1 1
Direct
0.256 0.256 0.233 In
0.744 0.744 0.767 In
0.500 0.500 0.500 Eu
0.000 0.000 0.000 Hf
```

Computed properties:
ΔE to the lowest computed polymorph = 177 meV per atom
ΔH_f (0 K) = -28.2 kJ/mol of formula units
E = -25.997 eV for the cell shown
space-group type = No. 166
magnetization = 7.3 μB/cell

---

Here is an optimized crystal structure of EuHfIn2 from Alexandria. Energies are from PBE.

Geometry as POSCAR:
```
EuHfIn2
1.0
-0.217 -3.268 0.236
2.261 0.022 2.381
-6.685 0.901 6.341
Eu In Hf
1 2 1
Direct
0.500 0.500 0.500 Eu
0.000 0.000 0.771 In
0.000 0.000 0.229 In
0.500 0.500 0.000 Hf
```

Computed properties:
ΔE to the lowest computed polymorph = 0 meV per atom
ΔH_f (0 K) = -96.3 kJ/mol of formula units
E = -26.703 eV for the cell shown
space-group type = No. 123
magnetization = 7.0 μB/cell

---

Here is an optimized crystal structure of EuHfIr2 from Alexandria. Energies are from PBE.

Geometry as POSCAR:
```
EuHfIr2
1.0
-1.182 -2.657 -1.423
0.277 -1.618 2.791
-6.916 2.066 1.884
Hf Ir Eu
1 2 1
Direct
0.500 0.500 0.000 Hf
0.000 0.000 0.790 Ir
0.000 0.000 0.210 Ir
0.500 0.500 0.500 Eu
```

Computed properties:
ΔH_f (0 K) = -263.6 kJ/mol of formula units
E = -40.682 eV for the cell shown
space-group type = No. 123
magnetization = 6.9 μB/cell

---

Here is an optimized crystal structure of EuHfIr4 from Alexandria. Energies are from PBE.

Geometry as POSCAR:
```
EuHfIr4
1.0
-0.651 -2.579 4.606
-0.926 -5.237 0.008
3.747 -3.360 1.719
Ir Eu Hf
4 1 1
Direct
0.625 0.625 0.625 Ir
0.625 0.125 0.625 Ir
0.625 0.625 0.125 Ir
0.125 0.625 0.625 Ir
0.000 0.000 0.000 Eu
0.250 0.250 0.250 Hf
```

Computed properties:
ΔH_f (0 K) = -304.6 kJ/mol of formula units
E = -58.829 eV for the cell shown
space-group type = No. 216
magnetization = 6.8 μB/cell

---

Here is an optimized crystal structure of LiEuHfIr from Alexandria. Energies are from PBE.

Geometry as POSCAR:
```
LiEuHfIr
1.0
-3.595 -0.318 3.195
0.191 -3.283 3.524
0.698 1.397 4.561
Eu Li Hf Ir
1 1 1 1
Direct
0.750 0.750 0.750 Eu
0.000 0.000 0.000 Li
0.250 0.250 0.250 Hf
0.500 0.500 0.500 Ir
```

Computed properties:
ΔH_f (0 K) = -95.1 kJ/mol of formula units
E = -31.989 eV for the cell shown
space-group type = No. 216
magnetization = 6.9 μB/cell

---

Here is an optimized crystal structure of EuHfIrRh from Alexandria. Energies are from PBE.

Geometry as POSCAR:
```
EuHfIrRh
1.0
-4.615 -0.846 -0.847
-1.271 -3.295 -3.203
-1.979 -4.090 1.445
Hf Ir Rh Eu
1 1 1 1
Direct
0.750 0.750 0.750 Hf
0.000 0.000 0.000 Ir
0.500 0.500 0.500 Rh
0.250 0.250 0.250 Eu
```

Computed properties:
ΔH_f (0 K) = -202.2 kJ/mol of formula units
E = -38.536 eV for the cell shown
space-group type = No. 216
magnetization = 6.8 μB/cell

---

Here is an optimized crystal structure of KEuHf4O12 from Alexandria. Energies are from PBE.

Geometry as POSCAR:
```
KEuHf4O12
1.0
4.084 -4.109 0.000
4.084 4.109 0.000
0.000 0.000 8.215
O Hf Eu K
12 4 1 1
Direct
0.936 0.481 0.000 O
0.014 0.521 0.500 O
0.758 0.758 0.229 O
0.283 0.717 0.804 O
0.242 0.242 0.229 O
0.731 0.269 0.751 O
0.283 0.717 0.196 O
0.758 0.758 0.771 O
0.479 0.986 0.500 O
0.242 0.242 0.771 O
0.519 0.064 0.000 O
0.731 0.269 0.249 O
0.493 0.992 0.746 Hf
0.008 0.507 0.746 Hf
0.008 0.507 0.254 Hf
0.493 0.992 0.254 Hf
0.521 0.479 0.000 Eu
0.985 0.015 0.500 K
```

Computed properties:
formation energy from raw total energies = -2.63 eV/atom
E = -158.100 eV for the cell shown
space-group type = No. 38
magnetization = 2.0 μB/cell